Rb2NpAlO6 after structural relaxation, computed with PBE-GGA.

Calculated values
Calculated volume ... 13.54 A^3/atom
Size of the total moment ... 0.0 μB/f.u.
Mass density ... 6.5 Mg/m³
Uncorrected energy ... -7.168 eV per atom

Lattice parameters (Å, degrees): 8.1520 8.1520 8.1520 90.00 90.00 90.00
Last column: nearest neighbours and their distance in Å.
Space group Fm-3m (No. 225)
Inequivalent atoms, fractional coordinates:
1 Rb 0.2500 0.2500 0.2500  12 O 2.88
2 Np 0.0000 0.0000 0.0000  6 O 2.06
3 Al 0.0000 0.0000 0.5000  6 O 2.01
4 O 0.0000 0.0000 0.2531  1 Al 2.01, 1 Np 2.06



YAsOs2 after structural relaxation, computed with PBE-GGA.

Calculated values
Density of states at the Fermi level ... 4.29 states/eV/f.u.
Calculated volume ... 17.25 A^3/atom
Size of the total moment ... 0.0 μB/f.u.
Energy of formation from the pure elements ... 0.2016 eV per atom
Mass density ... 13.1 Mg/m³

Lattice parameters (Å, degrees): 3.1307 3.1307 7.0395 90.00 90.00 90.00
Last column: nearest neighbours and their distance in Å.
Space group P4/mmm (No. 123)
Inequivalent atoms, fractional coordinates:
1 Y 0.0000 0.0000 0.0000  8 Os 3.04, 4 Y 3.13
2 As 0.0000 0.0000 0.5000  8 Os 2.64
3 Os 0.5000 0.5000 0.2962  4 As 2.64, 1 Os 2.87



Mn2BeRh after structural relaxation, computed with PBE-GGA.

Calculated values
Density of states at the Fermi level ... 3.73 states/eV/f.u.
Calculated volume ... 11.26 A^3/atom
Size of the total moment ... 0.1 μB/f.u.
Energy of formation from the pure elements ... 0.0409 eV per atom
Mass density ... 8.2 Mg/m³

Lattice parameters (Å, degrees): 4.5086 7.8469 2.5467 90.00 90.63 90.00
Last column: nearest neighbours and their distance in Å.
Space group C2/m (No. 12)
Inequivalent atoms, fractional coordinates:
1 Mn 0.2500 0.2500 0.0000  2 Mn 2.25
2 Be 0.0000 0.0000 0.5000  2 Rh 2.25
3 Rh 0.0000 0.5000 0.5000  2 Be 2.25



MnCd4N4 after structural relaxation, computed with PBE-GGA.

Calculated values
Density of states at the Fermi level ... 2.77 states/eV/f.u.
Calculated volume ... 15.74 A^3/atom
Size of the total moment ... 0.0 μB/f.u.
Mass density ... 6.6 Mg/m³
Uncorrected energy ... -4.762 eV per atom

Lattice parameters (Å, degrees): 6.2584 6.2712 8.7016 71.98 72.04 62.88
Last column: nearest neighbours and their distance in Å.
Space group P-1 (No. 2)
Inequivalent atoms, fractional coordinates:
1 Mn 0.1930 0.1926 0.2274  4 N 1.72-1.82
2 Cd 0.1727 0.6458 0.3784  3 N 2.31-2.41
3 Cd 0.2418 0.7574 0.0006  4 N 2.39-2.44
4 Cd 0.3266 0.3276 0.7908  3 N 2.25-2.26
5 Cd 0.3540 0.8281 0.6217  3 N 2.31-2.40
6 N 0.0159 0.5863 0.6580  1 Mn 1.74
7 N 0.0339 0.0347 0.1937  1 Mn 1.82
8 N 0.3314 0.3314 0.0472  1 Mn 1.72
9 N 0.4151 0.9825 0.3416  1 Mn 1.74



Y2MnHPd after structural relaxation, computed with PBE-GGA.

Calculated values
Density of states at the Fermi level ... 4.46 states/eV/f.u.
Calculated volume ... 17.63 A^3/atom
Size of the total moment ... 2.9 μB/f.u.
Mass density ... 6.4 Mg/m³
Uncorrected energy ... -6.501 eV per atom

Lattice parameters (Å, degrees): 4.9157 4.9157 3.6481 90.00 90.00 90.00
Last column: nearest neighbours and their distance in Å.
Space group P4/mmm (No. 123)
Inequivalent atoms, fractional coordinates:
1 Y 0.0000 0.5000 0.0000  2 H 2.46
2 Mn 0.0000 0.0000 0.5000  2 H 1.82
3 H 0.0000 0.0000 0.0000  2 Mn 1.82
4 Pd 0.5000 0.5000 0.5000  8 Y 3.06



BaPm4Te6 after structural relaxation, computed with PBE-GGA.

Calculated values
Density of states at the Fermi level ... 3.98 states/eV/f.u.
Calculated volume ... 35.24 A^3/atom
Size of the total moment ... 0.0 μB/f.u.
Mass density ... 6.4 Mg/m³
Uncorrected energy ... -5.119 eV per atom

Lattice parameters (Å, degrees): 4.5273 14.7250 23.2604 90.00 90.00 90.00
Last column: nearest neighbours and their distance in Å.
Space group Cmcm (No. 63)
Inequivalent atoms, fractional coordinates:
1 Ba 0.0000 0.1611 0.2500  6 Te 3.44-3.53
2 Pm 0.0000 0.0917 0.6255  6 Te 3.08-3.22
3 Pm 0.0000 0.3604 0.5376  6 Te 3.15-3.23
4 Te 0.0000 0.0000 0.0000  6 Pm 3.18-3.22
5 Te 0.0000 0.1630 0.7500  2 Pm 3.08, 2 Ba 3.44
6 Te 0.0000 0.2674 0.0883  5 Pm 3.17-3.23
7 Te 0.0000 0.4544 0.6592  3 Pm 3.14-3.15